The following is a GGA-PBE calculation of a geometry-optimized Nb3H2 structure, from Alexandria via LeMat-Bulk.

The value obtained for the volume is 121.4 Å³ per cell. The spin magnetization is 0.00 μB/f.u. The distance to the lowest polymorph of the same formula is 77 kJ/mol of formula units. The space group is Fdd2, No. 43.

The structure in POSCAR format:
```
Nb3H2
1.0
0.000 5.022 2.817
4.289 0.000 2.817
4.289 5.022 0.000
Nb H
6 4
direct
0.000 0.000 0.000 Nb
0.250 0.250 0.250 Nb
0.314 0.643 0.685 Nb
0.565 0.892 0.936 Nb
0.643 0.314 0.358 Nb
0.892 0.565 0.607 Nb
0.019 0.958 0.708 H
0.542 0.935 0.231 H
0.935 0.542 0.292 H
0.958 0.019 0.315 H
```

***

The following is a GGA-PBE calculation of a geometry-optimized Ta2CrHIr structure, from Alexandria via LeMat-Bulk.

The value obtained for the volume is 64.8 Å³ per cell. The spin magnetization is 0.47 μB/f.u. The distance to the lowest polymorph of the same formula is 0 kJ/mol of formula units. The space group is P4/mmm, No. 123.

The structure in POSCAR format:
```
Ta2CrHIr
1.0
4.293 0.000 0.000
0.000 4.293 0.000
0.000 0.000 3.516
Ta Cr H Ir
2 1 1 1
direct
0.000 0.500 0.000 Ta
0.500 0.000 0.000 Ta
0.000 0.000 0.500 Cr
0.000 0.000 0.000 H
0.500 0.500 0.500 Ir
```